[1]
DFT (PBE) results for BiOF2 after structural relaxation.

## Properties
For the formation energy from raw total energies, the calculation gives -468 meV per atom.

Structure (CIF):
```
data_BiOF2
_chemical_formula_sum 'Bi1 O1 F2'
_cell_length_a 8.3682
_cell_length_b 8.3682
_cell_length_c 8.3682
_cell_angle_alpha 23.46
_cell_angle_beta 23.46
_cell_angle_gamma 23.46
_space_group_name_H-M_alt 'P 1'
_space_group_IT_number 1
loop_
_space_group_symop_operation_xyz
'x,y,z'
loop_
_atom_site_label
_atom_site_type_symbol
_atom_site_fract_x
_atom_site_fract_y
_atom_site_fract_z
Bi1 Bi 0.0000 0.0000 0.0000
O1 O 0.5000 0.5000 0.5000
F1 F 0.3964 0.3964 0.3964
F2 F 0.6036 0.6036 0.6036
```


[2]
DFT (PBE) results for BeTcMo2 after structural relaxation.

## Properties
The calculation puts the formation energy at 0.112 eV per atom.

Structure (CIF):
```
data_BeTcMo2
_chemical_formula_sum 'Be1 Tc1 Mo2'
_cell_length_a 2.6617
_cell_length_b 4.2717
_cell_length_c 5.0923
_cell_angle_alpha 90.00
_cell_angle_beta 100.20
_cell_angle_gamma 90.00
_space_group_name_H-M_alt 'P 1'
_space_group_IT_number 1
loop_
_space_group_symop_operation_xyz
'x,y,z'
loop_
_atom_site_label
_atom_site_type_symbol
_atom_site_fract_x
_atom_site_fract_y
_atom_site_fract_z
Be1 Be 0.0000 0.0000 0.0000
Tc1 Tc 0.1921 0.5000 0.7523
Mo1 Mo 0.4251 0.0000 0.5055
Mo2 Mo 0.6527 0.5000 0.2284
```


[3]
DFT (PBE) results for CsVI2Cl after structural relaxation.

## Properties
For the formation energy from raw total energies, the calculation gives -978 meV per atom.

Structure (CIF):
```
data_CsVI2Cl
_chemical_formula_sum 'Cs1 V1 I2 Cl1'
_cell_length_a 5.8551
_cell_length_b 5.8551
_cell_length_c 5.0550
_cell_angle_alpha 90.00
_cell_angle_beta 90.00
_cell_angle_gamma 90.00
_space_group_name_H-M_alt 'P 1'
_space_group_IT_number 1
loop_
_space_group_symop_operation_xyz
'x,y,z'
loop_
_atom_site_label
_atom_site_type_symbol
_atom_site_fract_x
_atom_site_fract_y
_atom_site_fract_z
Cs1 Cs 0.0000 0.0000 0.0000
V1 V 0.5000 0.5000 0.5000
I1 I 0.0000 0.5000 0.5000
I2 I 0.5000 0.0000 0.5000
Cl1 Cl 0.5000 0.5000 0.0000
```